Record 1
{"formula": "NaSrPmHg", "functional": "PBE-GGA", "state": "optimized geometry", "n_ef_per_ev_cell": 2.2, "e_form_ev_per_atom": -0.105, "space_group": "F-43m", "cell": [[0.000, 3.989, 3.989], [3.989, 0.000, 3.989], [3.989, 3.989, 0.000]], "species": ["Na", "Sr", "Pm", "Hg"], "frac_coords": [[0.000, 0.000, 0.000], [0.250, 0.250, 0.250], [0.750, 0.750, 0.750], [0.500, 0.500, 0.500]]}



Record 2
{"formula": "NaTbPmHg", "functional": "PBE-GGA", "state": "optimized geometry", "n_ef_per_ev_cell": 4.8, "e_form_ev_per_atom": -0.059, "space_group": "F-43m", "cell": [[0.000, 3.831, 3.831], [3.831, 0.000, 3.831], [3.831, 3.831, 0.000]], "species": ["Na", "Tb", "Pm", "Hg"], "frac_coords": [[0.000, 0.000, 0.000], [0.750, 0.750, 0.750], [0.250, 0.250, 0.250], [0.500, 0.500, 0.500]]}



Record 3
{"formula": "NaPmHgTe", "functional": "PBE-GGA", "state": "optimized geometry", "raw_formation_energy_ev_per_atom": -0.5784, "n_ef_per_ev_cell": 5.3, "space_group": "F-43m", "cell": [[0.000, 3.815, 3.815], [3.815, 0.000, 3.815], [3.815, 3.815, 0.000]], "species": ["Na", "Pm", "Hg", "Te"], "frac_coords": [[0.000, 0.000, 0.000], [0.500, 0.500, 0.500], [0.250, 0.250, 0.250], [0.750, 0.750, 0.750]]}



Record 4
{"formula": "NaPm2TlHg4", "functional": "PBE-GGA", "state": "optimized geometry", "n_ef_per_ev_cell": 4.6, "e_form_ev_per_atom": -0.364, "space_group": "R-3m", "cell": [[2.628, 1.517, 8.587], [-2.628, 1.517, 8.587], [0.000, -3.034, 8.587]], "species": ["Na", "Pm", "Pm", "Tl", "Hg", "Hg", "Hg", "Hg"], "frac_coords": [[0.000, 0.000, 0.000], [0.246, 0.246, 0.246], [0.754, 0.754, 0.754], [0.500, 0.500, 0.500], [0.119, 0.119, 0.119], [0.369, 0.369, 0.369], [0.631, 0.631, 0.631], [0.881, 0.881, 0.881]]}



Record 5
{"formula": "Na2PrHg5", "functional": "PBE-GGA", "state": "optimized geometry", "n_ef_per_ev_cell": 3.5, "e_form_ev_per_atom": -0.294, "space_group": "I4/mmm", "cell": [[-2.402, 2.402, 8.920], [2.402, -2.402, 8.920], [2.402, 2.402, -8.920]], "species": ["Na", "Na", "Pr", "Hg", "Hg", "Hg", "Hg", "Hg"], "frac_coords": [[0.250, 0.250, 0.000], [0.750, 0.750, 0.000], [0.000, 0.000, 0.000], [0.128, 0.628, 0.500], [0.372, 0.872, 0.500], [0.500, 0.500, 0.000], [0.628, 0.128, 0.500], [0.872, 0.372, 0.500]]}



Record 6
{"formula": "NaPr4Hg4", "functional": "PBE-GGA", "state": "optimized geometry", "n_ef_per_ev_cell": 21.3, "e_form_ev_per_atom": -0.195, "space_group": "P4_2/n", "cell": [[9.896, 0.000, 0.000], [0.000, 9.896, 0.000], [0.000, 0.000, 6.165]], "species": ["Na", "Na", "Pr", "Pr", "Pr", "Pr", "Pr", "Pr", "Pr", "Pr", "Hg", "Hg", "Hg", "Hg", "Hg", "Hg", "Hg", "Hg"], "frac_coords": [[0.250, 0.250, 0.250], [0.750, 0.750, 0.750], [0.084, 0.667, 0.148], [0.167, 0.916, 0.648], [0.333, 0.584, 0.648], [0.416, 0.833, 0.148], [0.584, 0.167, 0.852], [0.667, 0.416, 0.352], [0.833, 0.084, 0.352], [0.916, 0.333, 0.852], [0.010, 0.621, 0.650], [0.121, 0.990, 0.150], [0.379, 0.510, 0.150], [0.490, 0.879, 0.650], [0.510, 0.121, 0.350], [0.621, 0.490, 0.850], [0.879, 0.010, 0.850], [0.990, 0.379, 0.350]]}



Record 7
{"formula": "Na2PrHg", "functional": "PBE-GGA", "state": "optimized geometry", "n_ef_per_ev_cell": 3.6, "e_form_ev_per_atom": 0.059, "space_group": "R-3m", "cell": [[1.751, 1.011, 11.964], [-1.751, 1.011, 11.964], [0.000, -2.022, 11.964]], "species": ["Na", "Na", "Pr", "Hg"], "frac_coords": [[0.096, 0.096, 0.096], [0.904, 0.904, 0.904], [0.000, 0.000, 0.000], [0.500, 0.500, 0.500]]}



Record 8
{"formula": "Na2Pr3Hg7", "functional": "PBE-GGA", "state": "optimized geometry", "n_ef_per_ev_cell": 8.5, "e_form_ev_per_atom": -0.246, "space_group": "Cmmm", "cell": [[2.644, -11.856, 0.000], [2.644, 11.856, 0.000], [0.000, 0.000, 5.416]], "species": ["Na", "Na", "Pr", "Pr", "Pr", "Hg", "Hg", "Hg", "Hg", "Hg", "Hg", "Hg"], "frac_coords": [[0.145, 0.855, 0.000], [0.855, 0.145, 0.000], [0.336, 0.664, 0.500], [0.500, 0.500, 0.500], [0.664, 0.336, 0.500], [0.000, 0.000, 0.000], [0.082, 0.918, 0.500], [0.273, 0.727, 0.000], [0.420, 0.580, 0.000], [0.580, 0.420, 0.000], [0.727, 0.273, 0.000], [0.918, 0.082, 0.500]]}



Record 9
{"formula": "NaPr4Hg3", "functional": "PBE-GGA", "state": "optimized geometry", "n_ef_per_ev_cell": 8.4, "e_form_ev_per_atom": -0.295, "space_group": "I4/mmm", "cell": [[-2.751, 2.751, 7.793], [2.751, -2.751, 7.793], [2.751, 2.751, -7.793]], "species": ["Na", "Pr", "Pr", "Pr", "Pr", "Hg", "Hg", "Hg"], "frac_coords": [[0.000, 0.000, 0.000], [0.130, 0.630, 0.500], [0.370, 0.870, 0.500], [0.630, 0.130, 0.500], [0.870, 0.370, 0.500], [0.247, 0.247, 0.000], [0.500, 0.500, 0.000], [0.753, 0.753, 0.000]]}



Record 10
{"formula": "NaPr5Hg3", "functional": "PBE-GGA", "state": "optimized geometry", "n_ef_per_ev_cell": 22.7, "e_form_ev_per_atom": -0.242, "space_group": "P6_3/mcm", "cell": [[9.538, 0.000, 0.000], [-4.769, 8.260, 0.000], [0.000, 0.000, 6.940]], "species": ["Na", "Na", "Pr", "Pr", "Pr", "Pr", "Pr", "Pr", "Pr", "Pr", "Pr", "Pr", "Hg", "Hg", "Hg", "Hg", "Hg", "Hg"], "frac_coords": [[0.000, 0.000, 0.000], [0.000, 0.000, 0.500], [0.000, 0.318, 0.250], [0.000, 0.682, 0.750], [0.318, 0.000, 0.250], [0.318, 0.318, 0.750], [0.333, 0.667, 0.000], [0.333, 0.667, 0.500], [0.667, 0.333, 0.000], [0.667, 0.333, 0.500], [0.682, 0.000, 0.750], [0.682, 0.682, 0.250], [0.000, 0.347, 0.750], [0.000, 0.653, 0.250], [0.347, 0.000, 0.750], [0.347, 0.347, 0.250], [0.653, 0.000, 0.250], [0.653, 0.653, 0.750]]}



Record 11
{"formula": "NaPrHg6", "functional": "PBE-GGA", "state": "optimized geometry", "n_ef_per_ev_cell": 4.0, "e_form_ev_per_atom": -0.282, "space_group": "P-6m2", "cell": [[6.737, 0.000, 0.000], [-3.369, 5.835, 0.000], [0.000, 0.000, 5.197]], "species": ["Na", "Pr", "Hg", "Hg", "Hg", "Hg", "Hg", "Hg"], "frac_coords": [[0.000, 0.000, 0.000], [0.333, 0.667, 0.500], [0.335, 0.167, 0.500], [0.505, 0.010, 0.000], [0.505, 0.495, 0.000], [0.833, 0.167, 0.500], [0.833, 0.665, 0.500], [0.990, 0.495, 0.000]]}



Record 12
{"formula": "Na2PrHg4", "functional": "PBE-GGA", "state": "optimized geometry", "n_ef_per_ev_cell": 4.9, "e_form_ev_per_atom": -0.223, "space_group": "R-3m", "cell": [[2.626, 1.516, 8.593], [-2.626, 1.516, 8.593], [0.000, -3.032, 8.593]], "species": ["Na", "Na", "Pr", "Hg", "Hg", "Hg", "Hg"], "frac_coords": [[0.246, 0.246, 0.246], [0.754, 0.754, 0.754], [0.000, 0.000, 0.000], [0.125, 0.125, 0.125], [0.376, 0.376, 0.376], [0.624, 0.624, 0.624], [0.875, 0.875, 0.875]]}